1.
TlAg2Cl after structural relaxation. Source: the Alexandria database, functional GGA-PBEsol.

```
4
Lattice="0.0000 3.4596 3.4596 3.4596 0.0000 3.4596 3.4596 3.4596 0.0000" Properties=species:S:1:pos:R:3 pbc="T T T"
Tl 0.0000 0.0000 0.0000
Ag 1.7298 1.7298 1.7298
Ag 5.1894 5.1894 5.1894
Cl 3.4596 3.4596 3.4596
```

Calculated values
Space-group type: Fm-3m, No. 225
Offset from the most stable computed form (eV per atom): 0.250
VASP energy (eV per atom): -2.677
Raw formation energy (eV per atom): 0.138



2.
TlAgCl2 after structural relaxation. Source: the Alexandria database, functional GGA-PBEsol.

```
4
Lattice="2.0348 1.1748 6.8679 -2.0348 1.1748 6.8679 0.0000 -2.3496 6.8679" Properties=species:S:1:pos:R:3 pbc="T T T"
Tl 0.0000 0.0000 0.0000
Ag 0.0000 0.0000 10.3019
Cl 0.0000 0.0000 4.8231
Cl 0.0000 0.0000 15.7806
```

Calculated values
Space-group type: R-3m, No. 166
VASP energy (eV per atom): -3.122
Raw formation energy (eV per atom): -0.633



3.
TlAgCl2 after structural relaxation. Source: the Alexandria database, functional GGA-PBEsol.

```
4
Lattice="-1.7867 1.8897 7.2005 1.7867 -1.8897 7.2005 1.7867 1.8897 -7.2005" Properties=species:S:1:pos:R:3 pbc="T T T"
Tl 0.0000 0.0000 0.0000
Ag 1.7867 0.0000 3.4883
Cl 0.0000 0.0000 5.5768
Cl 0.0000 1.8897 2.5835
```

Calculated values
Space-group type: Imm2, No. 44
VASP energy (eV per atom): -3.079
Raw formation energy (eV per atom): -0.589